A plane-wave DFT calculation with PBE was carried out for Tb4ScSe7 after structural relaxation.

a b c (Å): 6.913 6.913 12.110
angles (deg): 103.99 103.99 33.22
Fractional positions:
Tb1 0.000 0.000 0.000
Tb2 0.189 0.189 0.763
Tb3 0.587 0.587 0.375
Tb4 0.887 0.887 0.568
Sc1 0.776 0.776 0.148
Se1 0.156 0.156 0.218
Se2 0.226 0.226 0.519
Se3 0.382 0.382 0.076
Se4 0.548 0.548 0.621
Se5 0.633 0.633 0.930
Se6 0.851 0.851 0.787
Se7 0.923 0.923 0.347

Properties
Its space-group type is Cm, No. 8. The formation energy from raw total energies comes out at -1.836 eV/atom.